No. 1
Compound: BeInRe
Source: the Alexandria database
Functional: PBE-GGA
Structure: optimized geometry

Cell: 3.287 4.523 12.745 Å, 90.00 90.00 90.00°
Space group Fmm2 (No. 42)
Asymmetric unit:
Be: 0.000 0.000 0.000 (multiplicity 4)
In: 0.000 0.000 0.680 (multiplicity 4)
Re: 0.000 0.000 0.370 (multiplicity 4)

Output
M_tot in μB/f.u.: 0.0
Energy of formation from the pure elements in meV per atom: 605
Calculated density in Mg/m³: 10.87
DFT total energy in eV per atom: -5.699



No. 2
Compound: SrCu2Pb
Source: the Alexandria database
Functional: PBE-GGA
Structure: optimized geometry

Cell: 8.018 4.613 5.904 Å, 90.00 116.50 90.00°
Space group C2/m (No. 12)
Asymmetric unit:
Sr: 0.000 0.000 0.000 (multiplicity 2)
Cu: 0.199 0.000 0.597 (multiplicity 4)
Pb: 0.000 0.500 0.500 (multiplicity 2)

Output
M_tot in μB/f.u.: 0.0
Energy of formation from the pure elements in meV per atom: -90
Calculated density in Mg/m³: 7.17
DFT total energy in eV per atom: -3.486



No. 3
Compound: Ru5Pb
Source: the Alexandria database
Functional: PBE-GGA
Structure: optimized geometry

Cell: 2.840 2.840 11.566 Å, 90.00 90.00 90.00°
Space group P4/mmm (No. 123)
Asymmetric unit:
Ru: 0.000 0.000 0.000 (multiplicity 1)
Ru: 0.000 0.000 0.309 (multiplicity 2)
Ru: 0.500 0.500 0.161 (multiplicity 2)
Pb: 0.500 0.500 0.500 (multiplicity 1)

Output
M_tot in μB/f.u.: 0.0
Energy of formation from the pure elements in meV per atom: 413
Calculated density in Mg/m³: 12.68
DFT total energy in eV per atom: -7.935



No. 4
Compound: LiNiRhW
Source: the Alexandria database
Functional: PBE-GGA
Structure: optimized geometry

Cell: 5.975 5.975 5.975 Å, 90.00 90.00 90.00°
Space group F-43m (No. 216)
Asymmetric unit:
Li: 0.000 0.000 0.000 (multiplicity 4)
Ni: 0.250 0.250 0.750 (multiplicity 4)
Rh: 0.250 0.250 0.250 (multiplicity 4)
W: 0.000 0.000 0.500 (multiplicity 4)

Output
M_tot in μB/f.u.: 0.0
Energy of formation from the pure elements in meV per atom: 11
Calculated density in Mg/m³: 10.97
DFT total energy in eV per atom: -6.989



No. 5
Compound: GaMo3W
Source: the Alexandria database
Functional: PBE-GGA
Structure: optimized geometry

Cell: 4.518 4.518 4.518 Å, 90.00 90.00 90.00°
Space group Pm-3m (No. 221)
Asymmetric unit:
Ga: 0.000 0.000 0.000 (multiplicity 1)
Mo: 0.000 0.000 0.500 (multiplicity 3)
W: 0.500 0.500 0.500 (multiplicity 1)

Output
M_tot in μB/f.u.: 0.0
Energy of formation from the pure elements in meV per atom: 1661
Calculated density in Mg/m³: 9.75
DFT total energy in eV per atom: -8.033



No. 6
Compound: Ta2MoN
Source: the Alexandria database
Functional: PBE-GGA
Structure: optimized geometry

Cell: 6.117 6.117 7.020 Å, 90.00 90.00 90.00°
Space group I-42d (No. 122)
Asymmetric unit:
Ta: 0.162 0.750 0.125 (multiplicity 8)
Mo: 0.000 0.000 0.500 (multiplicity 4)
N: 0.000 0.000 0.000 (multiplicity 4)

Output
M_tot in μB/f.u.: 0.0
Calculated density in Mg/m³: 11.93
DFT total energy in eV per atom: -10.539
E_form (uncorrected) in eV per atom: 0.1761



How do the records compare in N(E_F)? In the order shown, they have 0.713; 0.206; 1.047; 0.912; 1.153; 0.976 states/eV/atom.